# LiFeSi3O8 (GGA+U, optimized geometry)
data_LiFeSi3O8
_cell_length_a 6.937
_cell_length_b 7.471
_cell_length_c 7.526
_cell_angle_alpha 76.50
_cell_angle_beta 81.09
_cell_angle_gamma 71.69
_space_group_name_H-M_alt 'P -1'
_space_group_IT_number 2
loop_
_space_group_symop_operation_xyz
'x,y,z'
'-x,-y,-z'
loop_
_atom_site_label
_atom_site_type_symbol
_atom_site_fract_x
_atom_site_fract_y
_atom_site_fract_z
Li1 Li 0.029 0.042 0.184
Fe1 Fe 0.427 0.521 0.799
Si1 Si 0.134 0.583 0.491
Si2 Si 0.227 0.174 0.715
Si3 Si 0.436 0.918 0.922
O1 O 0.032 0.187 0.614
O2 O 0.155 0.712 0.796
O3 O 0.183 0.054 0.937
O4 O 0.235 0.721 0.599
O5 O 0.258 0.384 0.689
O6 O 0.315 0.538 0.327
O7 O 0.452 0.009 0.696
O8 O 0.496 0.315 0.029
# **M_tot**: 4.99 μB per formula unit
# **Uncorrected energy**: -6.73 eV per atom
# **Fermi-level density of states**: 0.00 states/eV per cell